First-principles (PBE-GGA) data for a geometry-optimized BaZr2Sb structure, as listed in the Alexandria database.

a = 3.7689 Å, b = 3.7689 Å, c = 8.5270 Å
α = 90.00°, β = 90.00°, γ = 90.00°
With the nearest neighbours (Å) after each atom.
Positions (direct):
Zr1 0.5000 0.5000 0.1772  1 Sb 3.07, 4 Zr 3.14
Sb1 0.5000 0.5000 0.8176  5 Zr 3.01-3.07
Zr2 0.0000 0.0000 0.9822  4 Sb 3.01, 4 Zr 3.14
Ba1 0.0000 0.0000 0.5229  4 Sb 3.66, 4 Ba 3.77, 5 Zr 3.92-3.97

Energy = -6.009 eV per atom
DOS(E_F) = 0.837 states/eV per atom
Energy relative to the elements, uncorrected = -0.22 eV per atom